# 1
BaLaC3: optimized geometry, PBE.

Lattice parameters (Å, degrees): 4.7076 4.7076 4.7076 90.00 90.00 90.00
Closest atoms and distances in Å follow each position.
Sites, in units of the cell vectors:
Ba (0.0000, 0.0000, 0.0000)  12 C 3.33
La (0.5000, 0.5000, 0.5000)  6 C 2.35
C (0.0000, 0.5000, 0.5000)  2 La 2.35
C (0.5000, 0.0000, 0.5000)  2 La 2.35
C (0.5000, 0.5000, 0.0000)  2 La 2.35

Computed properties:
Distance to the lowest polymorph of the same formula (eV per formula unit): 0.00
Formation energy (eV/atom): 1.799

---

# 2
Ce2YHo3As6: optimized geometry, PBE.

Lattice parameters (Å, degrees): 9.2542 9.2542 8.2836 102.85 102.85 25.89
Closest atoms and distances in Å follow each position.
Sites, in units of the cell vectors:
Ce (0.1657, 0.1657, 0.3316)  6 As 2.93-2.96
Ce (0.8343, 0.8343, 0.6684)  6 As 2.93-2.96
Y (0.5000, 0.5000, 0.0000)  6 As 2.93-2.94
Ho (0.1664, 0.1664, 0.8343)  6 As 2.90-2.93
Ho (0.5000, 0.5000, 0.5000)  6 As 2.91-2.92
Ho (0.8336, 0.8336, 0.1657)  6 As 2.90-2.93
As (0.0012, 0.0012, 0.7493)  3 Ho 2.90-2.92, 1 Ce 2.93, 2 Y 2.94
As (0.3331, 0.3331, 0.9201)  3 Ho 2.90-2.93, 1 Y 2.93, 2 Ce 2.94
As (0.3344, 0.3344, 0.4135)  3 Ho 2.91-2.92, 3 Ce 2.96
As (0.6656, 0.6656, 0.5865)  3 Ho 2.91-2.92, 3 Ce 2.96
As (0.6669, 0.6669, 0.0799)  3 Ho 2.90-2.93, 1 Y 2.93, 2 Ce 2.94
As (0.9988, 0.9988, 0.2507)  3 Ho 2.90-2.92, 1 Ce 2.93, 2 Y 2.94

Computed properties:
Formation energy (eV/atom): -1.500

---

# 3
Nd2CdGa2Pd5: optimized geometry, PBE.

Lattice parameters (Å, degrees): 10.1428 10.1428 3.7432 90.00 90.00 90.00
Closest atoms and distances in Å follow each position.
Sites, in units of the cell vectors:
Nd (0.1780, 0.3220, 0.0000)  3 Ga 2.90-3.08, 6 Pd 3.17-3.24
Nd (0.3220, 0.8220, 0.0000)  3 Ga 2.90-3.08, 6 Pd 3.17-3.24
Nd (0.6780, 0.1780, 0.0000)  3 Ga 2.90-3.08, 6 Pd 3.17-3.24
Nd (0.8220, 0.6780, 0.0000)  3 Ga 2.90-3.08, 6 Pd 3.17-3.24
Cd (0.0000, 0.0000, 0.0000)  8 Pd 2.92
Cd (0.5000, 0.5000, 0.0000)  8 Pd 2.92
Ga (0.1200, 0.6200, 0.0000)  6 Pd 2.54-2.59
Ga (0.3800, 0.1200, 0.0000)  6 Pd 2.54-2.59
Ga (0.6200, 0.8800, 0.0000)  6 Pd 2.54-2.59
Ga (0.8800, 0.3800, 0.0000)  6 Pd 2.54-2.59
Pd (0.0000, 0.5000, 0.5000)  4 Ga 2.54
Pd (0.0632, 0.7878, 0.5000)  2 Ga 2.59
Pd (0.2122, 0.0632, 0.5000)  2 Ga 2.59
Pd (0.2878, 0.5632, 0.5000)  2 Ga 2.59
Pd (0.4368, 0.2878, 0.5000)  2 Ga 2.59
Pd (0.5000, 0.0000, 0.5000)  4 Ga 2.54
Pd (0.5632, 0.7122, 0.5000)  2 Ga 2.59
Pd (0.7122, 0.4368, 0.5000)  2 Ga 2.59
Pd (0.7878, 0.9368, 0.5000)  2 Ga 2.59
Pd (0.9368, 0.2122, 0.5000)  2 Ga 2.59

Computed properties:
Formation energy (eV/atom): -0.664

---

# 4
Li3Ce2DySe6: optimized geometry, PBE.

Lattice parameters (Å, degrees): 7.2254 7.2254 6.9226 99.97 99.97 120.03
Closest atoms and distances in Å follow each position.
Sites, in units of the cell vectors:
Li (0.0000, 0.0000, 0.0000)  6 Se 2.85-2.92
Li (0.3380, 0.6620, 0.0000)  6 Se 2.82-2.97
Li (0.6620, 0.3380, 0.0000)  6 Se 2.82-2.97
Ce (0.1672, 0.8328, 0.5000)  6 Se 2.95-2.96
Ce (0.8328, 0.1672, 0.5000)  6 Se 2.95-2.96
Dy (0.5000, 0.5000, 0.5000)  6 Se 2.88-2.89
Se (0.0888, 0.4142, 0.2422)  3 Li 2.85-2.97, 1 Dy 2.89, 2 Ce 2.95-2.96
Se (0.2591, 0.2591, 0.7558)  3 Li 2.82-2.92, 1 Dy 2.88, 2 Ce 2.95
Se (0.4142, 0.0888, 0.2422)  3 Li 2.85-2.97, 1 Dy 2.89, 2 Ce 2.95-2.96
Se (0.5858, 0.9112, 0.7578)  3 Li 2.85-2.97, 1 Dy 2.89, 2 Ce 2.95-2.96
Se (0.7409, 0.7409, 0.2442)  3 Li 2.82-2.92, 1 Dy 2.88, 2 Ce 2.95
Se (0.9112, 0.5858, 0.7578)  3 Li 2.85-2.97, 1 Dy 2.89, 2 Ce 2.95-2.96

Computed properties:
Formation energy from raw total energies (eV per atom): -1.63

---

# 5
LiAsSe2Br: optimized geometry, PBE.

Lattice parameters (Å, degrees): 5.3515 5.3515 5.1619 90.00 90.00 90.00
Closest atoms and distances in Å follow each position.
Sites, in units of the cell vectors:
Li (0.0000, 0.0000, 0.0000)  8 Se 3.72, 4 As 3.78
As (0.5000, 0.5000, 0.0000)  2 Br 2.58
Se (0.0000, 0.5000, 0.5000)  2 Br 2.68
Se (0.5000, 0.0000, 0.5000)  2 Br 2.68
Br (0.5000, 0.5000, 0.5000)  2 As 2.58, 4 Se 2.68

Computed properties:
Distance to the lowest polymorph of the same formula (eV per formula unit): 3.76
Formation energy from raw total energies (eV per atom): 0.64

---

# 6
ScCr2Fe: optimized geometry, PBE.

Lattice parameters (Å, degrees): 8.6756 8.6756 8.6756 18.06 18.06 18.06
Closest atoms and distances in Å follow each position.
Sites, in units of the cell vectors:
Sc (0.0000, 0.0000, 0.0000)  6 Sc 2.72, 6 Cr 2.84
Cr (0.2410, 0.2410, 0.2410)  3 Fe 2.47, 6 Cr 2.72
Cr (0.7590, 0.7590, 0.7590)  3 Fe 2.47, 6 Cr 2.72
Fe (0.5000, 0.5000, 0.5000)  6 Cr 2.47, 6 Fe 2.72

Computed properties:
Distance to the lowest polymorph of the same formula (eV per formula unit): 1.46
Formation energy (eV/atom): 0.517